# 1
CsTmGe2I8: optimized geometry, PBE.

The structure in POSCAR format:
```
CsTmGe2I8
1.0
-4.907 4.320 -4.270
-0.620 -4.636 -5.495
-9.063 -3.986 4.859
Tm Ge I Cs
1 2 8 1
direct
0.000 0.000 0.000
0.449 0.434 0.810
0.551 0.566 0.190
0.841 0.260 0.209
0.166 0.766 0.184
0.601 0.750 0.396
0.399 0.250 0.604
0.159 0.740 0.791
0.691 0.775 0.006
0.309 0.225 0.994
0.834 0.234 0.816
0.000 0.000 0.500
```

Calculated values
- Spin magnetization: 0.00 μB/f.u.
- Space-group type: No. 2
- Calculated volume: 51.3 Å³ per atom
- Uncorrected formation energy: -78.6 kJ/mol of atoms

=====

# 2
Pb3WBr: optimized geometry, PBE.

The structure in POSCAR format:
```
Pb3WBr
1.0
5.619 0.000 0.000
0.000 5.619 0.000
0.000 0.000 5.619
Br Pb W
1 3 1
direct
0.000 0.000 0.000
0.500 0.000 0.000
0.000 0.500 0.000
0.000 0.000 0.500
0.500 0.500 0.500
```

Calculated values
- Distance to the lowest polymorph of the same formula: 1.254 eV/atom
- Spin magnetization: 4.55 μB/f.u.
- Space-group type: No. 221
- Calculated volume: 35.5 Å³ per atom
- Uncorrected formation energy: 149.6 kJ/mol of atoms

=====

# 3
RbReMo2W: optimized geometry, PBE.

The structure in POSCAR format:
```
RbReMo2W
1.0
4.567 0.000 0.000
0.000 4.567 0.000
0.000 0.000 4.620
W Rb Mo Re
1 1 2 1
direct
0.500 0.500 0.500
0.000 0.000 0.000
0.000 0.500 0.000
0.500 0.000 0.000
0.000 0.000 0.500
```

Calculated values
- Spin magnetization: 0.00 μB/f.u.
- Formation energy: 3.67 eV/atom
- Space-group type: No. 123
- Calculated volume: 19.3 Å³ per atom

=====

# 4
La2AlRuI: optimized geometry, PBE.

The structure in POSCAR format:
```
La2AlRuI
1.0
5.549 0.000 0.000
0.000 5.549 0.000
0.000 0.000 4.834
Al Ru La I
1 1 2 1
direct
0.000 0.000 0.500
0.000 0.000 0.000
0.500 0.000 0.000
0.000 0.500 0.000
0.500 0.500 0.500
```

Calculated values
- Spin magnetization: 0.00 μB/f.u.
- Space-group type: No. 123
- Calculated volume: 29.8 Å³ per atom
- Uncorrected formation energy: -55.1 kJ/mol of atoms

=====

# 5
CaZn2Ni: optimized geometry, PBE.

The structure in POSCAR format:
```
CaZn2Ni
1.0
4.287 0.000 0.037
0.000 5.235 0.000
-0.029 -2.617 3.505
Ni Zn Ca
1 2 1
direct
0.500 0.000 0.000
0.000 0.823 0.646
0.000 0.177 0.354
0.500 0.500 0.000
```

Calculated values
- Spin magnetization: 0.00 μB/f.u.
- Formation energy: -0.05 eV/atom
- Space-group type: No. 65
- Calculated volume: 19.7 Å³ per atom

=====

# 6
PmDy6Te8: optimized geometry, PBE.

The structure in POSCAR format:
```
PmDy6Te8
1.0
7.520 0.000 4.342
2.507 7.090 4.342
0.000 0.000 8.683
Te Dy Pm
8 6 1
direct
0.250 0.250 0.250
0.260 0.740 0.740
0.740 0.260 0.740
0.740 0.260 0.260
0.740 0.740 0.260
0.260 0.260 0.740
0.260 0.740 0.260
0.750 0.750 0.750
0.500 0.000 0.000
0.500 0.000 0.500
0.000 0.500 0.500
0.000 0.000 0.500
0.000 0.500 0.000
0.500 0.500 0.000
0.000 0.000 0.000
```

Calculated values
- Distance to the lowest polymorph of the same formula: 0.000 eV/atom
- Spin magnetization: 0.00 μB/f.u.
- Space-group type: No. 225
- Calculated volume: 30.9 Å³ per atom
- Uncorrected formation energy: -132.3 kJ/mol of atoms

=====

# 7
Tm5CoRh2: optimized geometry, PBE.

The structure in POSCAR format:
```
Tm5CoRh2
1.0
-0.120 -3.162 2.430
-2.216 -4.373 -5.801
11.286 -2.369 -2.526
Tm Rh Co
10 4 2
direct
0.500 0.328 0.590
0.000 0.165 0.801
0.000 0.000 0.500
0.000 0.665 0.699
0.000 0.335 0.301
0.500 0.828 0.910
0.000 0.500 0.000
0.500 0.172 0.090
0.500 0.672 0.410
0.000 0.835 0.199
0.500 0.967 0.675
0.500 0.533 0.175
0.500 0.033 0.325
0.500 0.467 0.825
0.000 0.500 0.500
0.000 0.000 0.000
```

Calculated values
- Spin magnetization: 0.00 μB/f.u.
- Formation energy: -0.59 eV/atom
- Space-group type: No. 55
- Calculated volume: 22.4 Å³ per atom

=====

# 8
NdCo9Si2: optimized geometry, PBE.

The structure in POSCAR format:
```
NdCo9Si2
1.0
7.564 0.000 0.000
-4.938 5.729 0.000
-1.313 -2.864 6.876
Co Si Nd
18 4 2
direct
0.767 0.186 0.830
0.436 0.105 0.919
0.355 0.937 0.170
0.483 0.564 0.670
0.750 0.250 0.500
0.187 0.105 0.670
0.895 0.564 0.081
0.063 0.233 0.419
0.500 0.500 0.000
0.895 0.813 0.330
0.436 0.517 0.330
0.483 0.813 0.919
0.814 0.645 0.581
0.187 0.517 0.081
0.814 0.233 0.170
0.767 0.937 0.581
0.063 0.645 0.830
0.355 0.186 0.419
0.625 0.375 0.750
0.625 0.375 0.250
0.625 0.875 0.250
0.125 0.375 0.750
0.250 0.750 0.500
0.000 0.000 0.000
```

Calculated values
- Spin magnetization: 9.38 μB/f.u.
- Space-group type: No. 141
- Calculated volume: 12.4 Å³ per atom
- Uncorrected formation energy: -27.7 kJ/mol of atoms

=====

# 9
La5CuBr5: optimized geometry, PBE.

The structure in POSCAR format:
```
La5CuBr5
1.0
6.062 0.000 0.000
-3.031 6.209 -2.304
0.000 0.083 8.877
La Br Cu
5 5 1
direct
0.824 0.649 0.147
0.845 0.689 0.695
0.155 0.311 0.305
0.500 0.000 0.000
0.176 0.351 0.853
0.338 0.675 0.647
0.351 0.701 0.200
0.000 0.000 0.500
0.649 0.299 0.800
0.662 0.325 0.353
0.000 0.000 0.000
```

Calculated values
- Spin magnetization: 0.00 μB/f.u.
- Space-group type: No. 12
- Calculated volume: 30.5 Å³ per atom
- Uncorrected formation energy: -120.0 kJ/mol of atoms

=====

# 10
CrC2: optimized geometry, PBE.

The structure in POSCAR format:
```
CrC2
1.0
2.640 -2.505 -0.962
3.200 -1.460 1.340
-1.834 -4.797 2.623
Cr C
2 4
direct
0.995 0.995 0.371
0.775 0.775 0.053
0.284 0.284 0.304
0.515 0.515 0.611
0.536 0.536 0.850
0.062 0.062 0.977
```

Calculated values
- Distance to the lowest polymorph of the same formula: 0.035 eV/atom
- Spin magnetization: 0.00 μB/f.u.
- Formation energy: 0.53 eV/atom
- Space-group type: No. 8
- Calculated volume: 8.6 Å³ per atom

=====

# 11
MgInBiPb: optimized geometry, PBE.

The structure in POSCAR format:
```
MgInBiPb
1.0
-4.106 -2.758 2.331
0.138 -1.100 5.354
-3.427 2.560 3.406
Mg Bi Pb In
1 1 1 1
direct
0.000 0.000 0.000
0.750 0.750 0.750
0.500 0.500 0.500
0.250 0.250 0.250
```

Calculated values
- Distance to the lowest polymorph of the same formula: 0.056 eV/atom
- Spin magnetization: 0.00 μB/f.u.
- Formation energy: 0.03 eV/atom
- Space-group type: No. 216
- Calculated volume: 28.9 Å³ per atom

=====

# 12
YReNi2: optimized geometry, PBE.

The structure in POSCAR format:
```
YReNi2
1.0
4.692 -0.043 -0.012
3.833 2.708 -0.012
1.027 0.321 4.907
Ni Y Re
2 1 1
direct
0.747 0.747 0.721
0.015 0.015 0.973
0.252 0.252 0.225
0.486 0.486 0.581
```

Calculated values
- Distance to the lowest polymorph of the same formula: 0.230 eV/atom
- Spin magnetization: 0.00 μB/f.u.
- Formation energy: 0.14 eV/atom
- Space-group type: No. 8
- Calculated volume: 15.8 Å³ per atom